[1]
# BaZnPbO3, relaxed, DFT GGA-PBE
# Raw formation energy   -1.630 eV per atom
# Total magnetic moment   0.00 μB/f.u.
# Crystal system   monoclinic
# Uncorrected energy   -0.193 hartree per atom
data_BaZnPbO3
_space_group_name_H-M_alt 'P 1 21/m 1'
_space_group_IT_number 11
_space_group_name_Hall '-P 2yb'
_cell_length_a 7.955
_cell_length_b 3.573
_cell_length_c 8.010
_cell_angle_alpha 90.00
_cell_angle_beta 93.23
_cell_angle_gamma 90.00
loop_
_atom_site_label
_atom_site_fract_x
_atom_site_fract_y
_atom_site_fract_z
Ba1 0.184 0.250 0.154
Zn1 0.406 0.750 0.885
Pb1 0.171 0.250 0.618
O1 0.110 0.750 0.388
O2 0.158 0.750 0.865
O3 0.469 0.750 0.143


[2]
# Ba2ZnPbO, relaxed, DFT GGA-PBE
# Raw formation energy   -1.141 eV per atom
# Total magnetic moment   0.00 μB/f.u.
# Crystal system   monoclinic
# Uncorrected energy   -0.143 hartree per atom
data_Ba2ZnPbO
_space_group_name_H-M_alt 'P 1 21/m 1'
_space_group_IT_number 11
_space_group_name_Hall '-P 2yb'
_cell_length_a 7.365
_cell_length_b 4.578
_cell_length_c 9.477
_cell_angle_alpha 90.00
_cell_angle_beta 108.87
_cell_angle_gamma 90.00
loop_
_atom_site_label
_atom_site_fract_x
_atom_site_fract_y
_atom_site_fract_z
Ba1 0.203 0.250 0.383
Ba2 0.206 0.250 0.966
Zn1 0.454 0.750 0.238
Pb1 0.328 0.750 0.701
O1 0.166 0.750 0.154


[3]
# BaZnPbO4, relaxed, DFT GGA-PBE
# Raw formation energy   -1.463 eV per atom
# Total magnetic moment   0.00 μB/f.u.
# Crystal system   orthorhombic
# Uncorrected energy   -0.194 hartree per atom
data_BaZnPbO4
_space_group_name_H-M_alt 'I m m a'
_space_group_IT_number 74
_space_group_name_Hall '-I 2b 2'
_cell_length_a 7.297
_cell_length_b 7.680
_cell_length_c 8.137
_cell_angle_alpha 90.00
_cell_angle_beta 90.00
_cell_angle_gamma 90.00
loop_
_atom_site_label
_atom_site_fract_x
_atom_site_fract_y
_atom_site_fract_z
Ba1 0.000 0.250 0.157
Zn1 0.000 0.000 0.500
Pb1 0.250 0.250 0.750
O1 0.000 0.063 0.744
O2 0.197 0.250 0.492


[4]
# Ba3Zn2PbO6, relaxed, DFT GGA-PBE
# Raw formation energy   -1.689 eV per atom
# Total magnetic moment   0.00 μB/f.u.
# Crystal system   trigonal
# Uncorrected energy   -0.190 hartree per atom
data_Ba3Zn2PbO6
_space_group_name_H-M_alt 'P -3 m 1'
_space_group_IT_number 164
_space_group_name_Hall '-P 3 2"'
_cell_length_a 6.3506
_cell_length_b 6.3506
_cell_length_c 7.1178
_cell_angle_alpha 90.00
_cell_angle_beta 90.00
_cell_angle_gamma 120.00
loop_
_atom_site_label
_atom_site_fract_x
_atom_site_fract_y
_atom_site_fract_z
Ba1 0.0000 0.0000 0.0000
Ba2 0.3333 0.6667 0.6487
Zn1 0.3333 0.6667 0.2055
Pb1 0.0000 0.0000 0.5000
O1 0.1686 0.3372 0.2810


[5]
# BaZn3Pb4O12, relaxed, DFT GGA-PBE
# Raw formation energy   -1.155 eV per atom
# Total magnetic moment   0.00 μB/f.u.
# Crystal system   cubic
# Uncorrected energy   -0.190 hartree per atom
data_BaZn3Pb4O12
_space_group_name_H-M_alt 'I m -3'
_space_group_IT_number 204
_space_group_name_Hall '-I 2 2 3'
_cell_length_a 8.202
_cell_length_b 8.202
_cell_length_c 8.202
_cell_angle_alpha 90.00
_cell_angle_beta 90.00
_cell_angle_gamma 90.00
loop_
_atom_site_label
_atom_site_fract_x
_atom_site_fract_y
_atom_site_fract_z
Ba1 0.000 0.000 0.000
Zn1 0.000 0.000 0.500
Pb1 0.250 0.250 0.250
O1 0.000 0.316 0.170


[6]
# Ba2ZnPbO5, relaxed, DFT GGA-PBE
# Raw formation energy   -1.798 eV per atom
# Total magnetic moment   0.00 μB/f.u.
# Crystal system   orthorhombic
# Uncorrected energy   -0.203 hartree per atom
data_Ba2ZnPbO5
_space_group_name_H-M_alt 'C m c 21'
_space_group_IT_number 36
_space_group_name_Hall 'C 2c -2'
_cell_length_a 3.554
_cell_length_b 15.418
_cell_length_c 11.198
_cell_angle_alpha 90.00
_cell_angle_beta 90.00
_cell_angle_gamma 90.00
loop_
_atom_site_label
_atom_site_fract_x
_atom_site_fract_y
_atom_site_fract_z
Ba1 0.000 0.106 0.000
Ba2 0.000 0.128 0.625
Zn1 0.000 0.447 0.758
Pb1 0.000 0.211 0.334
O1 0.000 0.065 0.344
O2 0.000 0.285 0.965
O3 0.000 0.312 0.704
O4 0.000 0.349 0.317
O5 0.000 0.499 0.104


Which value of total magnetic moment does entry 3 give? 0.00 μB/f.u.


Which value of uncorrected energy does entry 1 give? -0.193 hartree per atom